1.
! NaO8, optimized geometry, DFT PBE-GGA; values from VASP
! Symmetry: I4/mmm (139)
! Raw formation energy in meV per atom: 293
! E in eV for the cell shown: -38.35
! Crystal system: tetragonal
! Excess energy over the best structure of this formula in the dataset in eV per atom: 0.397
&SYSTEM
  ibrav = 0, nat = 9, ntyp = 2
/
ATOMIC_SPECIES
Na 22.99 Na.upf
O 16.00 O.upf
ATOMIC_POSITIONS angstrom
Na 0.000 0.000 0.000
O 3.044 0.000 0.000
O 4.290 0.000 0.000
O 2.876 2.876 0.000
O 0.791 -0.791 2.603
O 0.000 3.044 0.000
O 0.000 4.290 0.000
O -0.791 0.791 2.603
O 0.791 0.791 2.603
CELL_PARAMETERS angstrom
-3.667 3.667 2.603
3.667 -3.667 2.603
3.667 3.667 -2.603

2.
! La12PrNd6, optimized geometry, DFT PBE-GGA; values from VASP
! Symmetry: R-3 (148)
! E in eV for the cell shown: -92.25
! Crystal system: trigonal
! Excess energy over the best structure of this formula in the dataset in eV per atom: 0.000
! Energy relative to the elements in eV per atom: 0.014
&SYSTEM
  ibrav = 0, nat = 19, ntyp = 3
/
ATOMIC_SPECIES
La 138.91 La.upf
Pr 140.91 Pr.upf
Nd 144.24 Nd.upf
ATOMIC_POSITIONS angstrom
La -1.272 -1.723 1.512
La -0.856 1.964 1.512
La -3.417 -1.473 4.546
La 2.129 -0.240 1.512
La -0.433 -3.696 4.570
La -2.984 2.223 4.570
La 2.984 -2.223 4.546
La 0.433 3.696 4.546
La -2.129 0.240 7.604
La 3.417 1.473 4.570
La 0.856 -1.964 7.604
La 1.272 1.723 7.604
Pr 0.000 0.000 4.558
Nd -3.823 -5.168 4.556
Nd -6.387 0.727 4.560
Nd 2.564 -5.895 4.560
Nd -2.564 5.895 4.556
Nd 6.387 -0.727 4.556
Nd 3.823 5.168 4.560
CELL_PARAMETERS angstrom
8.096 4.674 3.039
-8.096 4.674 3.039
0.000 -9.348 3.039

3.
! Ta2CoHg, optimized geometry, DFT PBE-GGA; values from VASP
! Symmetry: Pmmm (47)
! E in eV for the cell shown: -30.17
! Crystal system: orthorhombic
! Energy relative to the elements in eV per atom: 0.235
&SYSTEM
  ibrav = 0, nat = 4, ntyp = 3
/
ATOMIC_SPECIES
Ta 180.95 Ta.upf
Co 58.93 Co.upf
Hg 200.59 Hg.upf
ATOMIC_POSITIONS angstrom
Ta 0.000 0.000 1.317
Ta 0.000 0.000 4.452
Co 1.432 2.012 0.000
Hg 1.432 2.012 2.885
CELL_PARAMETERS angstrom
2.865 0.000 0.000
0.000 4.024 0.000
0.000 0.000 5.769

4.
! TiCu3Ge, optimized geometry, DFT PBE-GGA; values from VASP
! Symmetry: Pm-3m (221)
! E in eV for the cell shown: -18.71
! Crystal system: cubic
! Excess energy over the best structure of this formula in the dataset in eV per atom: 0.605
! Energy relative to the elements in eV per atom: 1.217
&SYSTEM
  ibrav = 0, nat = 5, ntyp = 3
/
ATOMIC_SPECIES
Ti 47.87 Ti.upf
Cu 63.55 Cu.upf
Ge 72.64 Ge.upf
ATOMIC_POSITIONS angstrom
Ti 0.000 0.000 0.000
Cu 0.000 0.000 2.323
Cu 0.000 2.323 0.000
Cu 2.323 0.000 0.000
Ge 2.323 2.323 2.323
CELL_PARAMETERS angstrom
4.646 0.000 0.000
0.000 4.646 0.000
0.000 0.000 4.646

5.
! MoAsW, optimized geometry, DFT PBE-GGA; values from VASP
! Symmetry: Fmm2 (42)
! E in eV for the cell shown: -109.27
! Crystal system: orthorhombic
! Excess energy over the best structure of this formula in the dataset in eV per atom: 0.151
! Energy relative to the elements in eV per atom: 0.372
&SYSTEM
  ibrav = 0, nat = 12, ntyp = 3
/
ATOMIC_SPECIES
Mo 95.94 Mo.upf
As 74.92 As.upf
W 183.84 W.upf
ATOMIC_POSITIONS angstrom
Mo 0.000 0.000 0.000
Mo 0.000 2.361 6.210
Mo 1.664 0.000 6.210
Mo 1.664 2.361 0.000
As 0.000 0.000 4.129
As 0.000 2.361 10.339
As 1.664 0.000 10.339
As 1.664 2.361 4.129
W 0.000 0.000 8.255
W 0.000 2.361 2.046
W 1.664 0.000 2.046
W 1.664 2.361 8.255
CELL_PARAMETERS angstrom
3.328 0.000 0.000
0.000 4.722 0.000
0.000 0.000 12.420

6.
! Fe2MoHRh, optimized geometry, DFT PBE-GGA; values from VASP
! Symmetry: P4/mmm (123)
! E in eV for the cell shown: -38.26
! Crystal system: tetragonal
! Excess energy over the best structure of this formula in the dataset in eV per atom: 0.028
&SYSTEM
  ibrav = 0, nat = 5, ntyp = 4
/
ATOMIC_SPECIES
Fe 55.84 Fe.upf
Mo 95.94 Mo.upf
H 1.01 H.upf
Rh 102.91 Rh.upf
ATOMIC_POSITIONS angstrom
Fe 0.000 1.856 0.000
Fe 1.856 0.000 0.000
Mo 0.000 0.000 1.910
H 0.000 0.000 0.000
Rh 1.856 1.856 1.910
CELL_PARAMETERS angstrom
3.713 0.000 0.000
0.000 3.713 0.000
0.000 0.000 3.820

7.
! SrTaTe2, optimized geometry, DFT PBE-GGA; values from VASP
! Symmetry: R-3m (166)
! Raw formation energy in meV per atom: -467
! E in eV for the cell shown: -65.06
! Crystal system: trigonal
! Excess energy over the best structure of this formula in the dataset in eV per atom: 0.000
&SYSTEM
  ibrav = 0, nat = 12, ntyp = 3
/
ATOMIC_SPECIES
Sr 87.62 Sr.upf
Ta 180.95 Ta.upf
Te 127.60 Te.upf
ATOMIC_POSITIONS angstrom
Sr 0.000 0.000 0.000
Sr 0.000 2.568 13.661
Sr 2.224 1.284 6.831
Ta 0.000 0.000 10.246
Ta 0.000 2.568 3.415
Ta 2.224 1.284 17.076
Te 0.000 0.000 4.784
Te 0.000 0.000 15.707
Te 0.000 2.568 8.877
Te 0.000 2.568 18.445
Te 2.224 1.284 2.046
Te 2.224 1.284 11.615
CELL_PARAMETERS angstrom
4.448 0.000 0.000
-2.224 3.852 0.000
0.000 0.000 20.492

8.
! Ni21Ge2As6, optimized geometry, DFT PBE-GGA; values from VASP
! Symmetry: Fm-3m (225)
! E in eV for the cell shown: -162.10
! Crystal system: cubic
! Energy relative to the elements in eV per atom: -0.123
&SYSTEM
  ibrav = 0, nat = 29, ntyp = 3
/
ATOMIC_SPECIES
Ni 58.69 Ni.upf
Ge 72.64 Ge.upf
As 74.92 As.upf
ATOMIC_POSITIONS angstrom
Ni 0.000 0.000 0.000
Ni 1.986 1.986 0.000
Ni 3.697 3.697 0.000
Ni 1.986 0.000 1.986
Ni 5.683 3.697 1.986
Ni 3.697 0.000 3.697
Ni 5.683 1.986 3.697
Ni 7.145 4.221 4.221
Ni 0.000 1.986 1.986
Ni 3.697 5.683 1.986
Ni 3.697 1.986 5.683
Ni 4.221 4.221 4.221
Ni 7.145 7.145 4.221
Ni 7.145 4.221 7.145
Ni 4.221 7.145 4.221
Ni 4.221 4.221 7.145
Ni 7.145 7.145 7.145
Ni 0.000 3.697 3.697
Ni 1.986 5.683 3.697
Ni 1.986 3.697 5.683
Ni 4.221 7.145 7.145
Ge 2.841 2.841 2.841
Ge 8.524 8.524 8.524
As 5.683 5.683 3.077
As 5.683 3.077 5.683
As 8.288 5.683 5.683
As 3.077 5.683 5.683
As 5.683 8.288 5.683
As 5.683 5.683 8.288
CELL_PARAMETERS angstrom
0.000 5.683 5.683
5.683 0.000 5.683
5.683 5.683 0.000